Entry 1:
Compound: CrPd2RuPb
Source: Alexandria
Functional: GGA-PBE
Structure: optimized geometry

abc: 4.939 4.939 4.916
angles: 90.00 90.00 90.00
Space group P4/mmm (No. 123)
One atom of each set of equivalent atoms:
Cr1 0.000 0.000 0.000 x1
Pd1 0.000 0.500 0.500 x2
Ru1 0.500 0.500 0.000 x1
Pb1 0.000 0.000 0.500 x1



Entry 2:
Compound: ScCrPdPb2
Source: Alexandria
Functional: GGA-PBE
Structure: optimized geometry

abc: 5.251 5.251 5.001
angles: 90.00 90.00 90.00
Space group P4/mmm (No. 123)
One atom of each set of equivalent atoms:
Sc1 0.000 0.000 0.000 x1
Cr1 0.500 0.500 0.000 x1
Pd1 0.500 0.500 0.500 x1
Pb1 0.000 0.500 0.500 x2



Entry 3:
Compound: TaCrPd2Pb
Source: Alexandria
Functional: GGA-PBE
Structure: optimized geometry

abc: 4.837 4.837 4.849
angles: 90.00 90.00 90.00
Space group P4/mmm (No. 123)
One atom of each set of equivalent atoms:
Ta1 0.000 0.000 0.000 x1
Cr1 0.500 0.500 0.000 x1
Pd1 0.000 0.500 0.500 x2
Pb1 0.500 0.500 0.500 x1



Number 1: DOS at the Fermi energy 7.01 states/eV per cell, energy -23.25 eV for the cell shown, formation enthalpy at 0 K 940 kJ/mol of formula units. Number 2: DOS at the Fermi energy 3.05 states/eV per cell, energy -26.19 eV for the cell shown, formation enthalpy at 0 K 229 kJ/mol of formula units. Number 3: DOS at the Fermi energy 7.46 states/eV per cell, energy -26.60 eV for the cell shown, formation enthalpy at 0 K 865 kJ/mol of formula units.